(1)
10
Lattice="-4.092 -4.141 1.521 -3.500 -3.024 -5.743 2.671 -6.861 0.409" Properties=species:S:1:pos:R:3 comment="Pr4PaAs5 (GGA-PBE, optimized geometry)" formation_enthalpy_0k_ev_per_fu=-14.2 pbc="T T T"
Pr -0.925 -8.336 -1.355
Pr -4.465 -9.851 -3.101
Pr -0.464 -4.183 -0.710
Pr -4.004 -5.698 -2.456
Pa -0.005 -0.005 0.002
As -2.886 -10.453 -0.493
As -2.361 -7.871 -3.952
As -2.567 -6.163 0.141
As -2.043 -3.581 -3.318
As -2.051 -2.076 0.763



(2)
12
Lattice="7.260 -0.112 -1.368 -3.922 6.111 -1.368 0.142 0.255 7.378" Properties=species:S:1:pos:R:3 comment="Pr5PaAs6 (GGA-PBE, optimized geometry)" formation_enthalpy_0k_ev_per_fu=-17.3 pbc="T T T"
Pr 5.434 1.071 2.321
Pr 3.524 1.967 -1.368
Pr 1.740 3.127 2.321
Pr -0.186 4.032 -1.368
Pr -1.954 5.183 2.321
As 2.631 0.509 1.128
As 4.435 3.750 3.513
As 0.904 1.625 4.934
As 2.576 4.629 -0.293
As -0.954 2.504 1.128
As 0.850 5.745 3.513
Pa 0.000 0.000 0.000